No. 1
Here is a geometry-optimized PmTiPb2 structure from Alexandria via LeMat-Bulk. Energies are from PBE-GGA.

Its density of states at the Fermi level is 3.88 states/eV/f.u. The raw total energy is -20.517 eV/cell.

Structure (CIF):
```
data_PmTiPb2
_chemical_formula_sum 'Pm1 Ti1 Pb2'
_cell_length_a 3.868
_cell_length_b 3.868
_cell_length_c 6.831
_cell_angle_alpha 90.00
_cell_angle_beta 90.00
_cell_angle_gamma 90.00
_space_group_name_H-M_alt 'P 4/m m m'
_space_group_IT_number 123
_space_group_name_Hall '-P 4 2'
loop_
_atom_site_label
_atom_site_fract_x
_atom_site_fract_y
_atom_site_fract_z
_atom_site_occupancy
Pm1 0.000 0.000 0.000 1
Ti1 0.000 0.000 0.500 1
Pb1 0.500 0.500 0.280 1
```

=====

No. 2
Here is a geometry-optimized Ac2Si2Rh structure from Alexandria via LeMat-Bulk. Energies are from PBE-GGA.

The value obtained for the uncorrected formation energy is -0.6286 eV per atom. Its density of states at the Fermi level is 3.45 states/eV/f.u.

Structure (CIF):
```
data_Ac2Si2Rh
_chemical_formula_sum 'Ac4 Si4 Rh2'
_cell_length_a 4.335
_cell_length_b 4.277
_cell_length_c 13.305
_cell_angle_alpha 90.00
_cell_angle_beta 90.00
_cell_angle_gamma 90.00
_space_group_name_H-M_alt 'A m m 2'
_space_group_IT_number 38
_space_group_name_Hall 'A 2 -2'
loop_
_atom_site_label
_atom_site_fract_x
_atom_site_fract_y
_atom_site_fract_z
_atom_site_occupancy
Ac1 0.000 0.000 0.000 1
Ac2 0.000 0.000 0.253 1
Si1 0.500 0.000 0.632 1
Si2 0.500 0.000 0.824 1
Rh1 0.500 0.000 0.430 1
```

=====

No. 3
Here is a geometry-optimized DyOsO5 structure from Alexandria via LeMat-Bulk. Energies are from PBE-GGA.

The value obtained for the uncorrected formation energy is -1.8662 eV per atom. Its density of states at the Fermi level is 0.71 states/eV/f.u.

Structure (CIF):
```
data_DyOsO5
_chemical_formula_sum 'Dy4 Os4 O20'
_cell_length_a 9.004
_cell_length_b 6.434
_cell_length_c 7.511
_cell_angle_alpha 90.00
_cell_angle_beta 114.63
_cell_angle_gamma 90.00
_space_group_name_H-M_alt 'C 1 2/c 1'
_space_group_IT_number 15
_space_group_name_Hall '-C 2yc'
loop_
_atom_site_label
_atom_site_fract_x
_atom_site_fract_y
_atom_site_fract_z
_atom_site_occupancy
Dy1 0.000 0.045 0.250 1
Os1 0.000 0.500 0.000 1
O1 0.000 0.410 0.250 1
O2 0.012 0.205 0.965 1
O3 0.220 0.483 0.614 1
```

=====

No. 4
Here is a geometry-optimized InSnBi2O6 structure from Alexandria via LeMat-Bulk. Energies are from PBE-GGA.

The value obtained for the uncorrected formation energy is -1.2687 eV per atom. Its density of states at the Fermi level is 2.13 states/eV/f.u.

Structure (CIF):
```
data_InSnBi2O6
_chemical_formula_sum 'In3 Sn3 Bi6 O18'
_cell_length_a 5.9435
_cell_length_b 5.9435
_cell_length_c 15.1721
_cell_angle_alpha 90.00
_cell_angle_beta 90.00
_cell_angle_gamma 120.00
_space_group_name_H-M_alt 'R 3'
_space_group_IT_number 146
_space_group_name_Hall 'R 3'
loop_
_atom_site_label
_atom_site_fract_x
_atom_site_fract_y
_atom_site_fract_z
_atom_site_occupancy
In1 0.0000 0.0000 0.0000 1
Sn1 0.0000 0.0000 0.4980 1
Bi1 0.0000 0.0000 0.2848 1
Bi2 0.0000 0.0000 0.7853 1
O1 0.0827 0.3621 0.5591 1
O2 0.0847 0.7162 0.0602 1
```

=====

Q: What is the formula in the first record?
A: PmTiPb2

=====

Copy entry 1 word for word.
Here is a geometry-optimized PmTiPb2 structure from Alexandria via LeMat-Bulk. Energies are from PBE-GGA.

Its density of states at the Fermi level is 3.88 states/eV/f.u. The raw total energy is -20.517 eV/cell.

Structure (CIF):
```
data_PmTiPb2
_chemical_formula_sum 'Pm1 Ti1 Pb2'
_cell_length_a 3.868
_cell_length_b 3.868
_cell_length_c 6.831
_cell_angle_alpha 90.00
_cell_angle_beta 90.00
_cell_angle_gamma 90.00
_space_group_name_H-M_alt 'P 4/m m m'
_space_group_IT_number 123
_space_group_name_Hall '-P 4 2'
loop_
_atom_site_label
_atom_site_fract_x
_atom_site_fract_y
_atom_site_fract_z
_atom_site_occupancy
Pm1 0.000 0.000 0.000 1
Ti1 0.000 0.000 0.500 1
Pb1 0.500 0.500 0.280 1
```